(1)
A geometry-optimized AsRuSe2 structure, computed with PBE-GGA.

Output
Formation energy (no corrections) in kcal/mol of atoms: 3.84
SG: R-3m (166)
V in Å³ per atom: 19.10
ρ in g/cm3: 7.26
Total magnetization in μB/cell: 0.29

Cell lengths 8.521, 8.521, 8.521 Å; angles 22.04, 22.04, 22.04 degrees
Positions (direct):
As (0.250, 0.250, 0.250)
Se (0.485, 0.485, 0.485)
Se (0.015, 0.015, 0.015)
Ru (0.750, 0.750, 0.750)


(2)
A geometry-optimized AsRuSe2 structure, computed with PBE-GGA.

Output
Formation energy (no corrections) in kcal/mol of atoms: 13.18
SG: Pmmm (47)
V in Å³ per atom: 17.39
ρ in g/cm3: 7.97
Total magnetization in μB/cell: 0.00

Cell lengths 3.194, 4.839, 4.501 Å; angles 90.00, 90.00, 90.00 degrees
Positions (direct):
Se (0.500, 0.500, 0.000)
Se (0.000, 0.000, 0.000)
As (0.500, 0.000, 0.500)
Ru (0.000, 0.500, 0.500)


(3)
A geometry-optimized AsRuSe2 structure, computed with PBE-GGA.

Output
Formation energy (no corrections) in kcal/mol of atoms: 10.37
SG: R-3m (166)
V in Å³ per atom: 21.96
ρ in g/cm3: 6.31
Total magnetization in μB/cell: 0.00

Cell lengths 12.724, 12.724, 12.724 Å; angles 12.79, 12.79, 12.79 degrees
Positions (direct):
Se (0.063, 0.063, 0.063)
Se (0.937, 0.937, 0.937)
As (0.500, 0.500, 0.500)
Ru (0.000, 0.000, 0.000)


(4)
A geometry-optimized As4RuSe structure, computed with PBE-GGA.

Output
Formation energy (no corrections) in kcal/mol of atoms: 19.69
SG: F-43m (216)
V in Å³ per atom: 19.53
ρ in g/cm3: 6.80
Total magnetization in μB/cell: 2.26

Cell lengths 5.493, 5.493, 5.493 Å; angles 60.00, 60.00, 60.00 degrees
Positions (direct):
As (0.375, 0.874, 0.375)
As (0.874, 0.375, 0.375)
As (0.375, 0.375, 0.874)
As (0.375, 0.375, 0.375)
Ru (0.750, 0.750, 0.750)
Se (0.000, 0.000, 0.000)


(5)
A geometry-optimized AsRuSe2 structure, computed with PBE-GGA.

Output
Formation energy (no corrections) in kcal/mol of atoms: 5.85
SG: Pmmm (47)
V in Å³ per atom: 18.94
ρ in g/cm3: 7.32
Total magnetization in μB/cell: 0.00

Cell lengths 2.965, 2.952, 8.655 Å; angles 90.00, 90.00, 90.00 degrees
Positions (direct):
Se (0.000, 0.000, 0.937)
Se (0.000, 0.000, 0.563)
As (0.500, 0.500, 0.250)
Ru (0.500, 0.500, 0.750)


(6)
A geometry-optimized As3RuSe structure, computed with PBE-GGA.

Output
Formation energy (no corrections) in kcal/mol of atoms: 32.14
SG: Pm-3m (221)
V in Å³ per atom: 23.21
ρ in g/cm3: 5.79
Total magnetization in μB/cell: 1.06

Cell lengths 4.877, 4.877, 4.877 Å; angles 90.00, 90.00, 90.00 degrees
Positions (direct):
As (0.500, 0.000, 0.000)
As (0.000, 0.000, 0.500)
As (0.000, 0.500, 0.000)
Se (0.000, 0.000, 0.000)
Ru (0.500, 0.500, 0.500)